(1)
Sn3IO2 | PBE-GGA | relaxed

Calculated values
Uncorrected formation energy (eV/f.u.): -3.98
Crystal system: trigonal
Volume (Å³ per cell): 880
Final energy (eV/atom): -4.575

Unit cell a=6.5709 b=6.5709 c=23.5366 alpha=90.00 beta=90.00 gamma=120.00
Space group R-3m (No. 166, hexagonal axes)
Asymmetric unit:
Sn1 0.0189 0.5095 0.2721 [18 per cell]
I1 0.0000 0.0000 0.1964 [6 per cell]
O1 0.0000 0.0000 0.0000 [3 per cell]
O2 0.0000 0.5000 0.0000 [9 per cell]


(2)
TbDy2Ru | PBE-GGA | relaxed

Calculated values
Relative energy among the computed polymorphs (meV per atom): 0.0
Crystal system: orthorhombic
Volume (Å³ per cell): 425
Formation energy from the elements (eV per atom): -0.319
Final energy (eV/atom): -6.097

Unit cell a=7.3019 b=9.2049 c=6.3259 alpha=90.00 beta=90.00 gamma=90.00
Space group Pnma (No. 62)
Asymmetric unit:
Tb1 0.0409 0.2500 0.1336 [4 per cell]
Dy1 0.1767 0.0646 0.6688 [8 per cell]
Ru1 0.1145 0.7500 0.4589 [4 per cell]


(3)
BaSc2Al | PBE-GGA | relaxed

Calculated values
Crystal system: tetragonal
Volume (Å³ per cell): 113
Formation energy from the elements (eV per atom): -0.004
Final energy (eV/atom): -4.586

Unit cell a=3.4539 b=3.4539 c=9.4533 alpha=90.00 beta=90.00 gamma=90.00
Space group P4/mmm (No. 123)
Asymmetric unit:
Ba1 0.0000 0.0000 0.0000 [1 per cell]
Sc1 0.5000 0.5000 0.3242 [2 per cell]
Al1 0.0000 0.0000 0.5000 [1 per cell]


(4)
Li2GeBi | PBE-GGA | relaxed

Calculated values
Relative energy among the computed polymorphs (meV per atom): 134.9
Crystal system: tetragonal
Volume (Å³ per cell): 352
Formation energy from the elements (eV per atom): -0.140
Final energy (eV/atom): -3.221

Unit cell a=4.3211 b=4.3211 c=18.8476 alpha=90.00 beta=90.00 gamma=90.00
Space group I-42d (No. 122)
Asymmetric unit:
Li1 0.2178 0.2500 0.1250 [8 per cell]
Ge1 0.0000 0.0000 0.0000 [4 per cell]
Bi1 0.0000 0.0000 0.5000 [4 per cell]


(5)
Mg2GaO | PBE-GGA | relaxed

Calculated values
Uncorrected formation energy (eV/f.u.): -0.68
Relative energy among the computed polymorphs (meV per atom): 956.7
Crystal system: cubic
Volume (Å³ per cell): 264
Final energy (eV/atom): -2.963

Unit cell a=6.4121 b=6.4121 c=6.4121 alpha=90.00 beta=90.00 gamma=90.00
Space group Fm-3m (No. 225)
Asymmetric unit:
Mg1 0.2500 0.2500 0.2500 [8 per cell]
Ga1 0.0000 0.0000 0.0000 [4 per cell]
O1 0.0000 0.0000 0.5000 [4 per cell]


(6)
Ba2PmAl12Pt3 | PBE-GGA | relaxed

Calculated values
Crystal system: trigonal
Volume (Å³ per cell): 1459
Formation energy from the elements (eV per atom): -0.112
Final energy (eV/atom): -4.091

Unit cell a=8.5340 b=8.5340 c=23.1273 alpha=90.00 beta=90.00 gamma=120.00
Space group R-3m (No. 166, hexagonal axes)
Asymmetric unit:
Ba1 0.0000 0.0000 0.1042 [6 per cell]
Pm1 0.0000 0.0000 0.5000 [3 per cell]
Al1 0.0263 0.5132 0.3500 [18 per cell]
Al2 0.0993 0.5496 0.8944 [18 per cell]
Pt1 0.0000 0.5000 0.0000 [9 per cell]